# CuNi2Mo

A geometry-optimized CuNi2Mo structure (PBE, Alexandria).

a b c (Å): 3.8026 3.8026 3.4862
angles (deg): 90.00 90.00 90.00
With the nearest neighbours (Å) after each atom.
Fractional positions:
1 Cu 0.0000 0.0000 0.0000  8 Ni 2.58, 4 Mo 2.69
2 Ni 0.0000 0.5000 0.5000  4 Mo 2.58, 4 Cu 2.58, 4 Ni 2.69
3 Ni 0.5000 0.0000 0.5000  4 Mo 2.58, 4 Cu 2.58, 4 Ni 2.69
4 Mo 0.5000 0.5000 0.0000  8 Ni 2.58, 4 Cu 2.69

**Mass density**: 9.12 g/cm³
**Energy**: -0.4684 Ry per atom
**Size of the total moment**: 2.8 μB/cell
**E above lowest polymorph**: 257 meV per atom
**Space-group type**: P4/mmm, No. 123
**Energy of formation**: 250.0 meV/atom